Computed, not measured: a geometry-optimized Rb2PaTaS6 structure at the GGA-PBE level of DFT.

Structure (POSCAR):
```
Rb2PaTaS6
1.0
5.326 0.000 0.000
0.000 7.114 0.000
0.000 0.000 7.114
Rb Pa Ta S
2 1 1 6
Direct
0.146 0.500 0.000
0.146 0.000 0.500
0.649 0.500 0.500
0.572 0.000 0.000
0.656 0.239 0.239
0.656 0.239 0.761
0.154 0.500 0.500
0.156 0.000 0.000
0.656 0.761 0.761
0.656 0.761 0.239
```

Values from the calculation:
Total magnetic moment (μB/f.u.): 0.0
Uncorrected formation energy (eV per atom): -1.2993



Computed, not measured: a geometry-optimized Re3HgS structure at the GGA-PBE level of DFT.

Structure (POSCAR):
```
Re3HgS
1.0
4.402 0.000 0.000
0.000 4.402 0.000
0.000 0.000 4.402
Re S Hg
3 1 1
Direct
0.000 0.500 0.000
0.000 0.000 0.500
0.500 0.000 0.000
0.000 0.000 0.000
0.500 0.500 0.500
```

Values from the calculation:
Total magnetic moment (μB/f.u.): 0.8
Energy relative to the lowest polymorph listed for this composition (eV/atom): 0.000
Uncorrected formation energy (eV per atom): 1.1000